{"formula": "Ho3SnSe2", "functional": "PBE", "state": "relaxed", "cell": [[-2.096, 2.960, 6.243], [2.096, -2.960, 6.243], [2.096, 2.960, -6.243]], "species": ["Ho", "Ho", "Ho", "Sn", "Se", "Se"], "fractional_positions": [[0.000, 0.000, 0.000], [0.329, 0.329, 0.000], [0.671, 0.671, 0.000], [0.500, 0.000, 0.500], [0.165, 0.665, 0.500], [0.835, 0.335, 0.500]], "space_group": "Immm", "raw_formation_energy_ev_per_fu": -8.47, "total_magnetization_mub_per_atom": 0.000}

=====

{"formula": "MgV3Bi", "functional": "PBE", "state": "relaxed", "cell": [[5.224, 0.000, 0.000], [0.000, 5.224, 0.000], [0.000, 0.000, 5.224]], "species": ["Mg", "V", "V", "V", "Bi"], "fractional_positions": [[0.000, 0.000, 0.000], [0.000, 0.500, 0.500], [0.500, 0.000, 0.500], [0.500, 0.500, 0.000], [0.500, 0.500, 0.500]], "space_group": "Pm-3m", "delta_e_f_kj_per_mol_atoms": 142, "total_magnetization_mub_per_atom": 1.987, "de_polymorph_ev_per_atom": 0.000}

=====

{"formula": "AgGePb2S4", "functional": "PBE", "state": "relaxed", "cell": [[-3.975, 4.033, 5.650], [3.975, -4.033, 5.650], [3.975, 4.033, -5.650]], "species": ["Ag", "Ag", "Ge", "Ge", "Pb", "Pb", "Pb", "Pb", "S", "S", "S", "S", "S", "S", "S", "S"], "fractional_positions": [[0.000, 0.000, 0.000], [0.500, 0.000, 0.500], [0.500, 0.000, 0.000], [0.500, 0.500, 0.500], [0.000, 0.000, 0.500], [0.000, 0.500, 0.000], [0.000, 0.500, 0.500], [0.500, 0.500, 0.000], [0.260, 0.247, 0.487], [0.260, 0.773, 0.013], [0.263, 0.243, 0.020], [0.276, 0.757, 0.520], [0.724, 0.243, 0.480], [0.737, 0.757, 0.980], [0.740, 0.227, 0.987], [0.740, 0.753, 0.513]], "space_group": "Imma", "raw_formation_energy_ev_per_fu": -2.15, "total_magnetization_mub_per_atom": 0.000}

=====

Number 1: total energy -5.5297 eV per atom. Number 2: total energy -5.0964 eV per atom. Number 3: total energy -4.1928 eV per atom.